Entry 1:
A plane-wave DFT calculation with GGA-PBEsol was carried out for crystalline LaSc5 at its relaxed geometry.

* offset from the most stable computed form: 2 meV per atom
* formation energy: 26 kJ/mol of formula units

```
LaSc5
1.0
-5.2204 2.4508 -0.2278
-4.7185 -3.2952 -0.4329
-3.6406 -0.4958 4.9826
Sc La
5 1
direct
0.3314 0.3314 0.0058 Sc
0.1708 0.5000 0.5000 Sc
0.5000 0.8292 0.5000 Sc
0.8292 0.1708 0.5000 Sc
0.6686 0.6686 0.9942 Sc
0.0000 0.0000 0.0000 La
```



Entry 2:
A plane-wave DFT calculation with GGA-PBEsol was carried out for crystalline Li4Mo5O17 at its relaxed geometry.

* ΔE_f (raw): -2.0688 eV per atom

```
Li4Mo5O17
1.0
-3.4635 -1.3547 5.6416
-8.0711 -4.4401 -2.0388
2.3320 -10.5141 -0.7512
Li O Mo
8 34 10
direct
0.9728 0.7758 0.9478 Li
0.7471 0.9458 0.6427 Li
0.1922 0.5978 0.3108 Li
0.0272 0.2242 0.0522 Li
0.8012 0.2828 0.4350 Li
0.2529 0.0542 0.3573 Li
0.1988 0.7172 0.5650 Li
0.8078 0.4022 0.6892 Li
0.8631 0.1589 0.9395 O
0.6578 0.1718 0.3496 O
0.9130 0.8834 0.5035 O
0.2324 0.4986 0.6731 O
0.3108 0.0723 0.0348 O
0.6570 0.0818 0.1580 O
0.5813 0.5123 0.7923 O
0.2106 0.6503 0.8648 O
0.7894 0.3497 0.1352 O
0.0870 0.1166 0.4965 O
0.2512 0.2527 0.2360 O
0.5452 0.9039 0.3740 O
0.1369 0.8411 0.0605 O
0.6334 0.3246 0.5865 O
0.4187 0.4877 0.2077 O
0.9479 0.9992 0.7302 O
0.0521 0.0008 0.2698 O
0.4485 0.3367 0.0116 O
0.4579 0.2458 0.8225 O
0.6892 0.9277 0.9652 O
0.3430 0.9182 0.8420 O
0.3666 0.6754 0.4135 O
0.4548 0.0961 0.6260 O
0.2488 0.4007 0.4603 O
0.7488 0.7473 0.7640 O
0.1003 0.2458 0.6924 O
0.0450 0.4124 0.9042 O
0.8997 0.7542 0.3076 O
0.7512 0.5993 0.5397 O
0.9550 0.5876 0.0958 O
0.5515 0.6633 0.9884 O
0.5421 0.7542 0.1775 O
0.7676 0.5014 0.3269 O
0.3422 0.8282 0.6504 O
0.4788 0.2922 0.2030 Mo
0.6138 0.6944 0.3900 Mo
0.6375 0.1196 0.9751 Mo
0.5212 0.7078 0.7970 Mo
0.2604 0.4588 0.8517 Mo
0.7396 0.5412 0.1483 Mo
0.1523 0.0580 0.6643 Mo
0.3862 0.3056 0.6100 Mo
0.3625 0.8804 0.0249 Mo
0.8477 0.9420 0.3357 Mo
```